# GGA-PBE Co2MoPtN, optimized geometry
data_Co2MoPtN
_chemical_formula_sum 'Co2 Mo1 Pt1 N1'
_cell_length_a 3.858
_cell_length_b 3.858
_cell_length_c 4.033
_cell_angle_alpha 90.00
_cell_angle_beta 90.00
_cell_angle_gamma 90.00
_symmetry_space_group_name_H-M 'P 4/m m m'
_symmetry_Int_Tables_number 123
_symmetry_space_group_name_Hall '-P 4 2'
loop_
_atom_site_label
_atom_site_fract_x
_atom_site_fract_y
_atom_site_fract_z
Co1 0.000 0.500 0.000
Mo1 0.000 0.000 0.500
Pt1 0.500 0.500 0.500
N1 0.000 0.000 0.000
# ΔE_f (raw): -0.080 eV per atom
# ΔE to the lowest computed polymorph: 0 meV/atom